[1]
This record from Alexandria via LeMat-Bulk describes a relaxed CaW3 crystal. The functional is PBE-GGA.

a b c (Å): 5.582 5.582 5.582
angles (deg): 147.31 128.07 62.73
Positions (direct):
Ca (0.000, 0.000, 0.000)
W (0.271, 0.771, 0.500)
W (0.500, 0.500, 0.000)
W (0.729, 0.229, 0.500)

- E above lowest polymorph: 248 meV per atom
- Energy relative to the elements: 0.802 eV per atom
- Space-group type: Immm

---

[2]
This record from Alexandria via LeMat-Bulk describes a relaxed CaW3 crystal. The functional is PBE-GGA.

a b c (Å): 10.112 10.112 10.112
angles (deg): 156.73 156.73 33.14
Positions (direct):
Ca (0.119, 0.119, 0.000)
Ca (0.881, 0.881, 0.000)
W (0.000, 0.500, 0.500)
W (0.250, 0.750, 0.500)
W (0.335, 0.335, 0.000)
W (0.500, 0.000, 0.500)
W (0.665, 0.665, 0.000)
W (0.750, 0.250, 0.500)

- E above lowest polymorph: 469 meV per atom
- Energy relative to the elements: 1.023 eV per atom
- Space-group type: I4/mmm

---

| no. | DOS at the Fermi energy (states/eV per atom) |
| --- | --- |
| 1 | 0.8793 |
| 2 | 0.8055 |